No. 1
Entry from Alexandria: crystalline AcGe4Bi at its relaxed geometry (PBE-GGA).

Geometry as CIF:
```
data_AcGe4Bi
_chemical_formula_sum 'Ac1 Ge4 Bi1'
_cell_length_a 5.883
_cell_length_b 5.883
_cell_length_c 5.883
_cell_angle_alpha 60.00
_cell_angle_beta 60.00
_cell_angle_gamma 60.00
_symmetry_space_group_name_H-M 'P 1'
_symmetry_Int_Tables_number 1
_symmetry_space_group_name_Hall 'P 1'
loop_
_atom_site_label
_atom_site_fract_x
_atom_site_fract_y
_atom_site_fract_z
Ac1 0.250 0.250 0.250
Ge1 0.628 0.628 0.117
Ge2 0.628 0.117 0.628
Ge3 0.628 0.628 0.628
Ge4 0.117 0.628 0.628
Bi1 0.000 0.000 0.000
```

Values from the calculation:
energy relative to the elements: -0.1520 eV per atom



No. 2
Entry from Alexandria: crystalline Ac6Ge3Bi at its relaxed geometry (PBE-GGA).

Geometry as CIF:
```
data_Ac6Ge3Bi
_chemical_formula_sum 'Ac12 Ge6 Bi2'
_cell_length_a 8.186
_cell_length_b 9.809
_cell_length_c 9.809
_cell_angle_alpha 104.60
_cell_angle_beta 90.00
_cell_angle_gamma 90.00
_symmetry_space_group_name_H-M 'P 1'
_symmetry_Int_Tables_number 1
_symmetry_space_group_name_Hall 'P 1'
loop_
_atom_site_label
_atom_site_fract_x
_atom_site_fract_y
_atom_site_fract_z
Ac1 0.150 0.716 0.638
Ac2 0.650 0.638 0.716
Ac3 0.246 0.469 0.907
Ac4 0.746 0.907 0.469
Ac5 0.270 0.007 0.993
Ac6 0.609 0.244 0.756
Ac7 0.109 0.756 0.244
Ac8 0.770 0.993 0.007
Ac9 0.246 0.093 0.531
Ac10 0.746 0.531 0.093
Ac11 0.150 0.362 0.284
Ac12 0.650 0.284 0.362
Ge1 0.478 0.925 0.713
Ge2 0.978 0.713 0.925
Ge3 0.361 0.418 0.582
Ge4 0.861 0.582 0.418
Ge5 0.978 0.075 0.287
Ge6 0.478 0.287 0.075
Bi1 0.997 0.177 0.823
Bi2 0.497 0.823 0.177
```

Values from the calculation:
energy relative to the elements: -0.5484 eV per atom



No. 3
Entry from Alexandria: crystalline Ac4Ge2Bi at its relaxed geometry (PBE-GGA).

Geometry as CIF:
```
data_Ac4Ge2Bi
_chemical_formula_sum 'Ac8 Ge4 Bi2'
_cell_length_a 8.959
_cell_length_b 8.959
_cell_length_c 8.959
_cell_angle_alpha 109.43
_cell_angle_beta 109.43
_cell_angle_gamma 109.55
_symmetry_space_group_name_H-M 'P 1'
_symmetry_Int_Tables_number 1
_symmetry_space_group_name_Hall 'P 1'
loop_
_atom_site_label
_atom_site_fract_x
_atom_site_fract_y
_atom_site_fract_z
Ac1 0.916 0.236 0.319
Ac2 0.333 0.514 0.181
Ac3 0.917 0.598 0.681
Ac4 0.764 0.083 0.681
Ac5 0.402 0.084 0.319
Ac6 0.334 0.152 0.819
Ac7 0.486 0.666 0.819
Ac8 0.848 0.667 0.181
Ge1 0.626 0.375 0.751
Ge2 0.624 0.875 0.249
Ge3 0.625 0.376 0.251
Ge4 0.125 0.374 0.749
Bi1 0.250 0.750 0.500
Bi2 0.000 0.000 0.000
```

Values from the calculation:
energy relative to the elements: -0.6375 eV per atom



No. 4
Entry from Alexandria: crystalline AcGe2Bi at its relaxed geometry (PBE-GGA).

Geometry as CIF:
```
data_AcGe2Bi
_chemical_formula_sum 'Ac1 Ge2 Bi1'
_cell_length_a 4.497
_cell_length_b 4.909
_cell_length_c 4.909
_cell_angle_alpha 90.00
_cell_angle_beta 90.00
_cell_angle_gamma 90.00
_symmetry_space_group_name_H-M 'P 1'
_symmetry_Int_Tables_number 1
_symmetry_space_group_name_Hall 'P 1'
loop_
_atom_site_label
_atom_site_fract_x
_atom_site_fract_y
_atom_site_fract_z
Ac1 0.500 0.500 0.500
Ge1 0.000 0.000 0.500
Ge2 0.000 0.500 0.000
Bi1 0.500 0.000 0.000
```

Values from the calculation:
energy relative to the elements: -0.3569 eV per atom



No. 5
Entry from Alexandria: crystalline Ac6Ge2BiI3 at its relaxed geometry (PBE-GGA).

Geometry as CIF:
```
data_Ac6Ge2BiI3
_chemical_formula_sum 'Ac6 Ge2 Bi1 I3'
_cell_length_a 4.721
_cell_length_b 9.628
_cell_length_c 10.704
_cell_angle_alpha 103.32
_cell_angle_beta 102.74
_cell_angle_gamma 90.00
_symmetry_space_group_name_H-M 'P 1'
_symmetry_Int_Tables_number 1
_symmetry_space_group_name_Hall 'P 1'
loop_
_atom_site_label
_atom_site_fract_x
_atom_site_fract_y
_atom_site_fract_z
Ac1 0.332 0.875 0.664
Ac2 0.677 0.560 0.354
Ac3 0.668 0.125 0.336
Ac4 0.018 0.252 0.035
Ac5 0.982 0.748 0.965
Ac6 0.323 0.440 0.646
Ge1 0.831 0.663 0.662
Ge2 0.169 0.337 0.338
Bi1 0.500 0.000 0.000
I1 0.500 0.500 0.000
I2 0.839 0.167 0.677
I3 0.161 0.833 0.323
```

Values from the calculation:
E_form (uncorrected): -1.00 eV/atom



No. 6
Entry from Alexandria: crystalline AcInGeBi at its relaxed geometry (PBE-GGA).

Geometry as CIF:
```
data_AcInGeBi
_chemical_formula_sum 'Ac1 In1 Ge1 Bi1'
_cell_length_a 5.529
_cell_length_b 5.529
_cell_length_c 5.529
_cell_angle_alpha 60.00
_cell_angle_beta 60.00
_cell_angle_gamma 60.00
_symmetry_space_group_name_H-M 'P 1'
_symmetry_Int_Tables_number 1
_symmetry_space_group_name_Hall 'P 1'
loop_
_atom_site_label
_atom_site_fract_x
_atom_site_fract_y
_atom_site_fract_z
Ac1 0.500 0.500 0.500
Ge1 0.250 0.250 0.250
Bi1 0.000 0.000 0.000
In1 0.750 0.750 0.750
```

Values from the calculation:
energy relative to the elements: -0.2043 eV per atom



No. 7
Entry from Alexandria: crystalline Ac2Ge3BiIr4 at its relaxed geometry (PBE-GGA).

Geometry as CIF:
```
data_Ac2Ge3BiIr4
_chemical_formula_sum 'Ac2 Ge3 Bi1 Ir4'
_cell_length_a 4.406
_cell_length_b 4.406
_cell_length_c 10.815
_cell_angle_alpha 90.00
_cell_angle_beta 90.00
_cell_angle_gamma 90.00
_symmetry_space_group_name_H-M 'P 1'
_symmetry_Int_Tables_number 1
_symmetry_space_group_name_Hall 'P 1'
loop_
_atom_site_label
_atom_site_fract_x
_atom_site_fract_y
_atom_site_fract_z
Ac1 0.500 0.000 0.243
Ac2 0.000 0.500 0.757
Ge1 0.000 0.000 0.500
Ge2 0.500 0.000 0.878
Ge3 0.000 0.500 0.122
Bi1 0.500 0.500 0.500
Ir1 0.500 0.500 0.000
Ir2 0.000 0.000 0.000
Ir3 0.500 0.000 0.648
Ir4 0.000 0.500 0.352
```

Values from the calculation:
energy relative to the elements: -0.6065 eV per atom



No. 8
Entry from Alexandria: crystalline LiAcGeBi at its relaxed geometry (PBE-GGA).

Geometry as CIF:
```
data_LiAcGeBi
_chemical_formula_sum 'Li1 Ac1 Ge1 Bi1'
_cell_length_a 5.347
_cell_length_b 5.347
_cell_length_c 5.347
_cell_angle_alpha 60.00
_cell_angle_beta 60.00
_cell_angle_gamma 60.00
_symmetry_space_group_name_H-M 'P 1'
_symmetry_Int_Tables_number 1
_symmetry_space_group_name_Hall 'P 1'
loop_
_atom_site_label
_atom_site_fract_x
_atom_site_fract_y
_atom_site_fract_z
Ac1 0.000 0.000 0.000
Ge1 0.250 0.250 0.250
Bi1 0.500 0.500 0.500
Li1 0.750 0.750 0.750
```

Values from the calculation:
energy relative to the elements: -0.3016 eV per atom



No. 9
Entry from Alexandria: crystalline AcMgGeBi at its relaxed geometry (PBE-GGA).

Geometry as CIF:
```
data_AcMgGeBi
_chemical_formula_sum 'Ac1 Mg1 Ge1 Bi1'
_cell_length_a 5.464
_cell_length_b 5.464
_cell_length_c 5.464
_cell_angle_alpha 60.00
_cell_angle_beta 60.00
_cell_angle_gamma 60.00
_symmetry_space_group_name_H-M 'P 1'
_symmetry_Int_Tables_number 1
_symmetry_space_group_name_Hall 'P 1'
loop_
_atom_site_label
_atom_site_fract_x
_atom_site_fract_y
_atom_site_fract_z
Mg1 0.500 0.500 0.500
Ac1 0.000 0.000 0.000
Ge1 0.250 0.250 0.250
Bi1 0.750 0.750 0.750
```

Values from the calculation:
energy relative to the elements: -0.2865 eV per atom



No. 10
Entry from Alexandria: crystalline AcNiGeBi at its relaxed geometry (PBE-GGA).

Geometry as CIF:
```
data_AcNiGeBi
_chemical_formula_sum 'Ac1 Ni1 Ge1 Bi1'
_cell_length_a 5.190
_cell_length_b 5.190
_cell_length_c 5.190
_cell_angle_alpha 60.00
_cell_angle_beta 60.00
_cell_angle_gamma 60.00
_symmetry_space_group_name_H-M 'P 1'
_symmetry_Int_Tables_number 1
_symmetry_space_group_name_Hall 'P 1'
loop_
_atom_site_label
_atom_site_fract_x
_atom_site_fract_y
_atom_site_fract_z
Ni1 0.000 0.000 0.000
Ac1 0.750 0.750 0.750
Ge1 0.500 0.500 0.500
Bi1 0.250 0.250 0.250
```

Values from the calculation:
energy relative to the elements: -0.1101 eV per atom



No. 11
Entry from Alexandria: crystalline AcGeBiO5 at its relaxed geometry (PBE-GGA).

Geometry as CIF:
```
data_AcGeBiO5
_chemical_formula_sum 'Ac2 Ge2 Bi2 O10'
_cell_length_a 6.184
_cell_length_b 6.184
_cell_length_c 7.732
_cell_angle_alpha 101.56
_cell_angle_beta 101.56
_cell_angle_gamma 108.74
_symmetry_space_group_name_H-M 'P 1'
_symmetry_Int_Tables_number 1
_symmetry_space_group_name_Hall 'P 1'
loop_
_atom_site_label
_atom_site_fract_x
_atom_site_fract_y
_atom_site_fract_z
Ac1 0.342 0.658 0.250
Ac2 0.658 0.342 0.750
Ge1 0.682 0.318 0.250
Ge2 0.318 0.682 0.750
Bi1 0.000 0.000 0.500
Bi2 0.000 0.000 0.000
O1 0.112 0.888 0.250
O2 0.888 0.112 0.750
O3 0.913 0.342 0.139
O4 0.087 0.658 0.861
O5 0.658 0.087 0.361
O6 0.342 0.913 0.639
O7 0.722 0.580 0.425
O8 0.278 0.420 0.575
O9 0.420 0.278 0.075
O10 0.580 0.722 0.925
```

Values from the calculation:
E_form (uncorrected): -2.08 eV/atom



No. 12
Entry from Alexandria: crystalline Ac2GeBiO8 at its relaxed geometry (PBE-GGA).

Geometry as CIF:
```
data_Ac2GeBiO8
_chemical_formula_sum 'Ac2 Ge1 Bi1 O8'
_cell_length_a 5.687
_cell_length_b 5.687
_cell_length_c 6.204
_cell_angle_alpha 90.00
_cell_angle_beta 90.00
_cell_angle_gamma 120.00
_symmetry_space_group_name_H-M 'P 1'
_symmetry_Int_Tables_number 1
_symmetry_space_group_name_Hall 'P 1'
loop_
_atom_site_label
_atom_site_fract_x
_atom_site_fract_y
_atom_site_fract_z
Ac1 0.667 0.333 0.141
Ac2 0.333 0.667 0.859
Ge1 0.000 0.000 0.000
Bi1 0.000 0.000 0.500
O1 0.844 0.687 0.819
O2 0.313 0.156 0.819
O3 0.844 0.156 0.819
O4 0.156 0.313 0.181
O5 0.687 0.844 0.181
O6 0.156 0.844 0.181
O7 0.667 0.333 0.501
O8 0.333 0.667 0.499
```

Values from the calculation:
E_form (uncorrected): -1.62 eV/atom



Number 1: volume 24.0 A^3/atom. Number 2: volume 38.1 A^3/atom. Number 3: volume 39.5 A^3/atom. Number 4: volume 27.1 A^3/atom. Number 5: volume 38.4 A^3/atom. Number 6: volume 29.9 A^3/atom. Number 7: volume 21.0 A^3/atom. Number 8: volume 27.0 A^3/atom. Number 9: volume 28.8 A^3/atom. Number 10: volume 24.7 A^3/atom. Number 11: volume 16.4 A^3/atom. Number 12: volume 14.5 A^3/atom.